Entry 1:
Below is a relaxed structure of Tb3Gd, with properties calculated at the PBE-GGA level.

Lattice parameters (Å, degrees): 3.6265 6.2861 6.7702 117.66 105.54 90.00
Site moments in Bohr magnetons follow the coordinates.
Atoms (fractional coordinates):
Gd 0.0000 0.9991 0.0000  -7.26
Tb 0.2480 0.5816 0.4960  -0.08
Tb 0.5000 0.5004 0.0000  -0.09
Tb 0.7520 0.0856 0.5040  -0.08

Values from the calculation:
calculated volume: 32.57 A^3/atom
energy relative to the lowest polymorph listed for this composition: 0.00 eV/f.u.
uncorrected energy: -6.9839 eV per atom
symmetry: Imm2
DFT formation energy: 0.04 eV/f.u.

***

Entry 2:
Below is a relaxed structure of TbGd, with properties calculated at the PBE-GGA level.

Lattice parameters (Å, degrees): 3.5707 3.5700 10.1071 90.00 89.96 90.00
Site moments in Bohr magnetons follow the coordinates.
Atoms (fractional coordinates):
Gd 0.2499 0.7500 0.8732  7.16
Gd 0.7501 0.2500 0.1268  7.16
Tb 0.7500 0.2500 0.6232  -0.08
Tb 0.2500 0.7500 0.3768  -0.08

Values from the calculation:
calculated volume: 32.21 A^3/atom
energy relative to the lowest polymorph listed for this composition: 0.00 eV/f.u.
uncorrected energy: -9.3290 eV per atom
symmetry: P4/nmm
DFT formation energy: 0.05 eV/f.u.

***

Entry 3:
Below is a relaxed structure of Tb2Gd, with properties calculated at the PBE-GGA level.

Lattice parameters (Å, degrees): 3.5752 3.5752 7.9527 102.99 102.99 90.00
Site moments in Bohr magnetons follow the coordinates.
Atoms (fractional coordinates):
Gd 0.0000 0.0000 0.0000  7.19
Tb 0.6678 0.6679 0.3357  -0.07
Tb 0.3322 0.3322 0.6643  -0.07

Values from the calculation:
calculated volume: 32.13 A^3/atom
energy relative to the lowest polymorph listed for this composition: 0.00 eV/f.u.
uncorrected energy: -7.7618 eV per atom
symmetry: I4/mmm
DFT formation energy: 0.06 eV/f.u.

***

Entry 4:
Below is a relaxed structure of TbGd2Tc, with properties calculated at the PBE-GGA level.

Lattice parameters (Å, degrees): 3.4445 3.4445 11.0154 81.00 81.00 60.00
Site moments in Bohr magnetons follow the coordinates.
Atoms (fractional coordinates):
Gd 0.1039 0.1039 0.6884  7.24
Gd 0.8961 0.8961 0.3116  7.24
Tb 0.0000 0.0000 0.0000  0.28
Tc 0.5000 0.5000 0.5000  -0.26

Values from the calculation:
calculated volume: 27.83 A^3/atom
energy relative to the lowest polymorph listed for this composition: 0.90 eV/f.u.
uncorrected energy: -10.5117 eV per atom
symmetry: R-3m
DFT formation energy: 1.11 eV/f.u.

***

Entry 5:
Below is a relaxed structure of TbGd3Tc, with properties calculated at the PBE-GGA level.

Lattice parameters (Å, degrees): 5.3985 5.3985 5.3985 90.00 90.00 90.00
Site moments in Bohr magnetons follow the coordinates.
Atoms (fractional coordinates):
Gd 0.0000 0.5000 0.0000  7.09
Gd 0.0000 0.0000 0.5000  7.09
Gd 0.5000 0.0000 0.0000  7.09
Tb 0.5000 0.5000 0.5000  0.24
Tc 0.0000 0.0000 0.0000  -0.33

Values from the calculation:
calculated volume: 31.47 A^3/atom
uncorrected energy: -11.3247 eV per atom
symmetry: Pm-3m
DFT formation energy: 0.62 eV/f.u.

***

Entry 6:
Below is a relaxed structure of TbGd2Tc, with properties calculated at the PBE-GGA level.

Lattice parameters (Å, degrees): 3.4626 3.4626 8.9555 90.00 90.00 90.00
Site moments in Bohr magnetons follow the coordinates.
Atoms (fractional coordinates):
Gd 0.0000 0.0000 0.8125  7.05
Gd 0.0000 0.0000 0.1875  7.05
Tb 0.5000 0.5000 0.5000  -0.08
Tc 0.5000 0.5000 0.0000  -0.35

Values from the calculation:
calculated volume: 26.84 A^3/atom
energy relative to the lowest polymorph listed for this composition: 0.00 eV/f.u.
uncorrected energy: -10.7357 eV per atom
symmetry: P4/mmm
DFT formation energy: 0.22 eV/f.u.

***

Entry 7:
Below is a relaxed structure of Tb3GdTc, with properties calculated at the PBE-GGA level.

Lattice parameters (Å, degrees): 5.3989 5.3989 5.3989 90.00 90.00 90.00
Site moments in Bohr magnetons follow the coordinates.
Atoms (fractional coordinates):
Gd 0.5000 0.5000 0.5000  7.13
Tb 0.0000 0.5000 0.0000  0.03
Tb 0.0000 0.0000 0.5000  0.03
Tb 0.5000 0.0000 0.0000  0.03
Tc 0.0000 0.0000 0.0000  -0.15

Values from the calculation:
calculated volume: 31.47 A^3/atom
uncorrected energy: -7.5330 eV per atom
symmetry: Pm-3m
DFT formation energy: 0.67 eV/f.u.

***

Entry 8:
Below is a relaxed structure of Tb2GdTe, with properties calculated at the PBE-GGA level.

Lattice parameters (Å, degrees): 3.8993 3.8993 7.7854 90.00 90.00 90.00
Site moments in Bohr magnetons follow the coordinates.
Atoms (fractional coordinates):
Te 0.5000 0.5000 0.5000  0.01
Gd 0.5000 0.5000 0.0000  7.25
Tb 0.0000 0.0000 0.7233  0.08
Tb 0.0000 0.0000 0.2767  0.08

Values from the calculation:
calculated volume: 29.59 A^3/atom
uncorrected energy: -7.1865 eV per atom
E_form (uncorrected): -0.566 eV/atom
symmetry: P4/mmm

***

Entry 9:
Below is a relaxed structure of TbGdTe2, with properties calculated at the PBE-GGA level.

Lattice parameters (Å, degrees): 3.8029 3.8029 7.6132 90.00 90.00 90.00
Site moments in Bohr magnetons follow the coordinates.
Atoms (fractional coordinates):
Te 0.0000 0.0000 0.7527  -0.03
Te 0.0000 0.0000 0.2473  -0.03
Gd 0.5000 0.5000 0.5000  7.31
Tb 0.5000 0.5000 0.0000  0.32

Values from the calculation:
calculated volume: 27.52 A^3/atom
energy relative to the lowest polymorph listed for this composition: 0.00 eV/f.u.
uncorrected energy: -7.4875 eV per atom
E_form (uncorrected): -1.239 eV/atom
symmetry: P4/mmm

***

Entry 10:
Below is a relaxed structure of TbGdTe, with properties calculated at the PBE-GGA level.

Lattice parameters (Å, degrees): 3.8933 3.8933 6.4455 107.58 107.58 90.00
Site moments in Bohr magnetons follow the coordinates.
Atoms (fractional coordinates):
Te 0.6640 0.6640 0.3280  -0.02
Gd 0.3219 0.3219 0.6438  7.11
Tb 0.0141 0.0141 0.0282  0.03

Values from the calculation:
calculated volume: 29.45 A^3/atom
energy relative to the lowest polymorph listed for this composition: 0.00 eV/f.u.
uncorrected energy: -8.0751 eV per atom
E_form (uncorrected): -0.791 eV/atom
symmetry: I4mm

***

Entry 11:
Below is a relaxed structure of TbGdTe, with properties calculated at the PBE-GGA level.

Lattice parameters (Å, degrees): 4.0381 5.1701 5.1701 120.00 90.00 90.00
Site moments in Bohr magnetons follow the coordinates.
Atoms (fractional coordinates):
Te 0.3531 0.6667 0.3333  0.01
Gd 0.0780 0.0000 0.0000  -7.02
Tb 0.5690 0.3333 0.6667  0.00

Values from the calculation:
calculated volume: 31.16 A^3/atom
energy relative to the lowest polymorph listed for this composition: 0.84 eV/f.u.
uncorrected energy: -7.7944 eV per atom
E_form (uncorrected): -0.510 eV/atom
symmetry: P3m1

***

Entry 12:
Below is a relaxed structure of TbGdTe2, with properties calculated at the PBE-GGA level.

Lattice parameters (Å, degrees): 4.2977 4.2977 10.0444 77.65 77.65 60.00
Site moments in Bohr magnetons follow the coordinates.
Atoms (fractional coordinates):
Te 0.1047 0.1047 0.6859  -0.01
Te 0.8953 0.8953 0.3141  -0.01
Gd 0.0000 0.0000 0.0000  6.92
Tb 0.5000 0.5000 0.5000  0.00

Values from the calculation:
calculated volume: 38.92 A^3/atom
energy relative to the lowest polymorph listed for this composition: 1.25 eV/f.u.
uncorrected energy: -7.1739 eV per atom
E_form (uncorrected): -0.925 eV/atom
symmetry: R-3m

***

Entry 13:
Below is a relaxed structure of TbGdTe2, with properties calculated at the PBE-GGA level.

Lattice parameters (Å, degrees): 5.3812 5.3812 5.3812 60.00 60.00 60.00
Site moments in Bohr magnetons follow the coordinates.
Atoms (fractional coordinates):
Te 0.2500 0.2500 0.2500  -0.03
Te 0.7500 0.7500 0.7500  -0.03
Gd 0.5000 0.5000 0.5000  7.32
Tb 0.0000 0.0000 0.0000  0.41

Values from the calculation:
calculated volume: 27.55 A^3/atom
energy relative to the lowest polymorph listed for this composition: 0.00 eV/f.u.
uncorrected energy: -7.4870 eV per atom
E_form (uncorrected): -1.238 eV/atom
symmetry: Fm-3m

***

Entry 14:
Below is a relaxed structure of Tb2GdTh, with properties calculated at the PBE-GGA level.

Lattice parameters (Å, degrees): 5.0151 5.0571 5.0571 90.00 90.00 90.00
Site moments in Bohr magnetons follow the coordinates.
Atoms (fractional coordinates):
Gd 0.5000 0.5000 0.5000  7.16
Tb 0.0000 0.0000 0.5000  0.02
Tb 0.0000 0.5000 0.0000  0.02
Th 0.5000 0.0000 0.0000  -0.01

Values from the calculation:
calculated volume: 32.06 A^3/atom
energy relative to the lowest polymorph listed for this composition: 0.07 eV/f.u.
uncorrected energy: -7.6517 eV per atom
symmetry: P4/mmm
DFT formation energy: 0.15 eV/f.u.

***

Entry 15:
Below is a relaxed structure of Tb2GdTh, with properties calculated at the PBE-GGA level.

Lattice parameters (Å, degrees): 3.5806 3.5806 11.7843 81.26 81.26 60.00
Site moments in Bohr magnetons follow the coordinates.
Atoms (fractional coordinates):
Gd 0.5000 0.5000 0.5000  7.21
Tb 0.7481 0.7481 0.7558  0.01
Tb 0.2519 0.2519 0.2442  0.01
Th 0.0000 0.0000 0.0000  0.02

Values from the calculation:
calculated volume: 32.20 A^3/atom
energy relative to the lowest polymorph listed for this composition: 0.00 eV/f.u.
uncorrected energy: -7.6682 eV per atom
symmetry: R-3m
DFT formation energy: 0.09 eV/f.u.